This record from the Alexandria database describes LiAl2Hg after structural relaxation. The functional is PBE.

a b c (Å): 2.9216 2.9216 8.6189
angles (deg): 90.00 90.00 90.05
Closest atoms and distances in Å follow each position.
Sites, in units of the cell vectors:
Al 0.0000 0.0000 0.9955  8 Al 2.92, 4 Li 2.94
Al 0.5000 0.5000 0.2345  8 Al 2.92, 4 Hg 3.19
Hg 0.0000 0.0000 0.5165  4 Li 2.90-2.91, 4 Hg 2.92, 4 Al 3.19
Li 0.5000 0.5000 0.7535  4 Hg 2.90-2.91, 4 Li 2.92, 4 Al 2.94

Summary:
Total DFT energy (no corrections) (eV per atom): -2.4819
SG: P4mm, No. 99
Total magnetic moment (μB/cell): 0.00
E_form (eV per atom): -0.057


This record from the Alexandria database describes Li12AlHg6 after structural relaxation. The functional is PBE.

a b c (Å): 7.0897 7.0897 7.0897
angles (deg): 90.21 90.21 90.21
Closest atoms and distances in Å follow each position.
Sites, in units of the cell vectors:
Li 0.8034 0.5271 0.4311  4 Hg 2.74-2.86, 4 Li 2.89-2.98
Li 0.4311 0.8034 0.5271  4 Hg 2.74-2.86, 4 Li 2.89-2.98
Li 0.5271 0.4311 0.8034  4 Hg 2.74-2.86, 4 Li 2.89-2.98
Li 0.1966 0.4729 0.5689  4 Hg 2.74-2.86, 4 Li 2.89-2.98
Li 0.5689 0.1966 0.4729  4 Hg 2.74-2.86, 4 Li 2.89-2.98
Li 0.4729 0.5689 0.1966  4 Hg 2.74-2.86, 4 Li 2.89-2.98
Li 0.0321 0.1510 0.3728  4 Hg 2.82-3.06, 5 Li 2.84-3.15, 1 Al 2.86
Li 0.8490 0.6272 0.9679  4 Hg 2.82-3.06, 5 Li 2.84-3.15, 1 Al 2.86
Li 0.6272 0.9679 0.8490  4 Hg 2.82-3.06, 5 Li 2.84-3.15, 1 Al 2.86
Li 0.9679 0.8490 0.6272  4 Hg 2.82-3.06, 5 Li 2.84-3.15, 1 Al 2.86
Li 0.1510 0.3728 0.0321  4 Hg 2.82-3.06, 5 Li 2.84-3.15, 1 Al 2.86
Li 0.3728 0.0321 0.1510  4 Hg 2.82-3.06, 5 Li 2.84-3.15, 1 Al 2.86
Al 0.0000 0.0000 0.0000  6 Li 2.86, 6 Hg 2.95
Hg 0.7157 0.8762 0.2768  8 Li 2.74-3.06, 1 Al 2.95
Hg 0.7232 0.2843 0.1238  8 Li 2.74-3.06, 1 Al 2.95
Hg 0.1238 0.7232 0.2843  8 Li 2.74-3.06, 1 Al 2.95
Hg 0.2843 0.1238 0.7232  8 Li 2.74-3.06, 1 Al 2.95
Hg 0.2768 0.7157 0.8762  8 Li 2.74-3.06, 1 Al 2.95
Hg 0.8762 0.2768 0.7157  8 Li 2.74-3.06, 1 Al 2.95

Summary:
Total DFT energy (no corrections) (eV per atom): -1.7660
SG: R-3, No. 148
Total magnetic moment (μB/cell): 0.00
E_form (eV per atom): -0.265


This record from the Alexandria database describes LiAlHg2 after structural relaxation. The functional is PBE.

a b c (Å): 3.7392 3.7392 5.7302
angles (deg): 90.00 90.00 90.00
Closest atoms and distances in Å follow each position.
Sites, in units of the cell vectors:
Al 0.5000 0.5000 0.7673  6 Hg 2.74-2.99
Hg 0.0000 0.0000 0.9626  2 Li 2.76-2.97, 4 Al 2.87
Hg 0.5000 0.5000 0.2890  2 Al 2.74-2.99, 4 Li 2.86
Li 0.0000 0.0000 0.4811  6 Hg 2.76-2.97

Summary:
Total DFT energy (no corrections) (eV per atom): -1.6406
SG: P4mm, No. 99
Total magnetic moment (μB/cell): 0.00
E_form (eV per atom): -0.076


This record from the Alexandria database describes LiAlHg2 after structural relaxation. The functional is PBE.

a b c (Å): 9.4224 9.4224 9.4224
angles (deg): 19.48 19.48 19.48
Closest atoms and distances in Å follow each position.
Sites, in units of the cell vectors:
Al 0.7500 0.7500 0.7500  6 Hg 3.05, 6 Al 3.19
Hg 0.9954 0.9954 0.9954  3 Li 2.86, 3 Al 3.05, 6 Hg 3.19
Hg 0.5046 0.5046 0.5046  3 Li 2.86, 3 Al 3.05, 6 Hg 3.19
Li 0.2500 0.2500 0.2500  6 Hg 2.86, 6 Li 3.19

Summary:
Total DFT energy (no corrections) (eV per atom): -1.6442
SG: R-3m, No. 166
Total magnetic moment (μB/cell): 0.00
E_form (eV per atom): -0.079


This record from the Alexandria database describes Li4AlHg after structural relaxation. The functional is PBE.

a b c (Å): 4.5933 4.5933 5.4543
angles (deg): 89.97 89.97 120.02
Closest atoms and distances in Å follow each position.
Sites, in units of the cell vectors:
Li 0.3338 0.1669 0.7532  5 Li 2.65-2.76
Li 0.6669 0.8338 0.7532  5 Li 2.65-2.76
Li 0.3331 0.1662 0.2468  5 Li 2.65-2.76
Li 0.6662 0.8331 0.2468  5 Li 2.65-2.76
Al 0.0000 0.5000 0.0000  2 Hg 2.73, 12 Li 2.97
Hg 0.0000 0.5000 0.5000  2 Al 2.73, 12 Li 2.99

Summary:
Total DFT energy (no corrections) (eV per atom): -2.1838
SG: P6/mmm, No. 191
ΔE to the lowest computed polymorph (eV per formula unit): 0.000
Total magnetic moment (μB/cell): 0.00
E_form (eV per atom): -0.234


This record from the Alexandria database describes Li2Al2Hg after structural relaxation. The functional is PBE.

a b c (Å): 3.7800 3.7800 7.2881
angles (deg): 74.97 74.97 90.00
Closest atoms and distances in Å follow each position.
Sites, in units of the cell vectors:
Li 0.7500 0.2500 0.5000  4 Li 2.67, 4 Al 2.82
Li 0.2500 0.7500 0.5000  4 Li 2.67, 4 Al 2.82
Hg 0.0000 0.0000 0.0000  8 Al 2.97
Al 0.4038 0.4038 0.1923  1 Al 2.61, 4 Li 2.82
Al 0.5962 0.5962 0.8077  1 Al 2.61, 4 Li 2.82

Summary:
Total DFT energy (no corrections) (eV per atom): -2.2527
SG: I4/mmm, No. 139
ΔE to the lowest computed polymorph (eV per formula unit): 0.723
Total magnetic moment (μB/cell): 0.00
E_form (eV per atom): 0.070


This record from the Alexandria database describes Li2Al2Hg after structural relaxation. The functional is PBE.

a b c (Å): 7.0480 7.0480 3.6478
angles (deg): 90.00 90.00 90.00
Closest atoms and distances in Å follow each position.
Sites, in units of the cell vectors:
Li 0.1618 0.6618 0.5000  6 Al 2.74-2.77
Li 0.6618 0.8382 0.5000  6 Al 2.74-2.77
Li 0.8382 0.3382 0.5000  6 Al 2.74-2.77
Li 0.3382 0.1618 0.5000  6 Al 2.74-2.77
Hg 0.0000 0.0000 0.0000  4 Al 2.75
Hg 0.5000 0.5000 0.0000  4 Al 2.75
Al 0.3665 0.8665 0.0000  1 Al 2.66, 6 Li 2.74-2.77, 2 Hg 2.75
Al 0.8665 0.6335 0.0000  1 Al 2.66, 6 Li 2.74-2.77, 2 Hg 2.75
Al 0.6335 0.1335 0.0000  1 Al 2.66, 6 Li 2.74-2.77, 2 Hg 2.75
Al 0.1335 0.3665 0.0000  1 Al 2.66, 6 Li 2.74-2.77, 2 Hg 2.75

Summary:
Total DFT energy (no corrections) (eV per atom): -2.3973
SG: P4/mbm, No. 127
ΔE to the lowest computed polymorph (eV per formula unit): 0.000
Total magnetic moment (μB/cell): 0.00
E_form (eV per atom): -0.074


This record from the Alexandria database describes LiAl2Hg after structural relaxation. The functional is PBE.

a b c (Å): 4.0828 3.0129 6.5471
angles (deg): 62.20 90.00 90.00
Closest atoms and distances in Å follow each position.
Sites, in units of the cell vectors:
Li 0.5000 0.7538 0.7463  6 Al 2.78-3.02, 4 Hg 2.85-2.86, 2 Li 3.01
Hg 0.0000 0.4823 0.5201  6 Al 2.83-3.07, 4 Li 2.85-2.86, 2 Hg 3.01
Al 0.0000 0.9904 0.0080  2 Hg 2.83-2.97, 6 Al 2.83-3.01, 4 Li 2.95-2.96
Al 0.5000 0.2736 0.2256  2 Li 2.78-3.02, 6 Al 2.83-3.01, 4 Hg 3.05-3.07

Summary:
Total DFT energy (no corrections) (eV per atom): -2.5100
SG: Pm, No. 6
Total magnetic moment (μB/cell): 0.00
E_form (eV per atom): -0.085


This record from the Alexandria database describes LiAl2Hg after structural relaxation. The functional is PBE.

a b c (Å): 4.0302 4.0852 4.2599
angles (deg): 90.00 90.00 90.00
Closest atoms and distances in Å follow each position.
Sites, in units of the cell vectors:
Al 0.0000 0.0000 0.0000  4 Al 2.87, 4 Hg 2.93, 4 Li 2.95
Al 0.5000 0.5000 0.0000  4 Al 2.87, 4 Li 2.93, 4 Hg 2.95
Hg 0.5000 0.0000 0.5000  4 Li 2.87, 8 Al 2.93-2.95
Li 0.0000 0.5000 0.5000  4 Hg 2.87, 8 Al 2.93-2.95

Summary:
Total DFT energy (no corrections) (eV per atom): -2.5267
SG: Pmmm, No. 47
Total magnetic moment (μB/cell): 0.00
E_form (eV per atom): -0.102


This record from the Alexandria database describes LiAlHg2 after structural relaxation. The functional is PBE.

a b c (Å): 4.4211 4.4211 9.6873
angles (deg): 76.81 76.81 90.00
Closest atoms and distances in Å follow each position.
Sites, in units of the cell vectors:
Li 0.5000 0.5000 0.0000  4 Hg 2.77
Li 0.2500 0.7500 0.5000  4 Hg 2.77
Hg 0.6210 0.1250 0.2500  2 Li 2.77, 2 Al 2.78
Hg 0.1290 0.6250 0.2500  2 Li 2.77, 2 Al 2.78
Hg 0.3750 0.3790 0.7500  2 Li 2.77, 2 Al 2.78
Hg 0.8750 0.8710 0.7500  2 Li 2.77, 2 Al 2.78
Al 0.0000 0.0000 0.0000  4 Hg 2.78
Al 0.7500 0.2500 0.5000  4 Hg 2.78

Summary:
Total DFT energy (no corrections) (eV per atom): -1.5351
SG: I-42d, No. 122
Total magnetic moment (μB/cell): 0.00
E_form (eV per atom): 0.030


This record from the Alexandria database describes LiAl2Hg after structural relaxation. The functional is PBE.

a b c (Å): 4.8139 5.8147 3.0120
angles (deg): 74.65 90.80 114.68
Closest atoms and distances in Å follow each position.
Sites, in units of the cell vectors:
Al 0.0000 0.0000 0.0000  6 Al 2.82-3.01, 2 Li 2.90, 2 Hg 2.90
Al 0.5000 0.0000 0.5000  6 Al 2.82-3.01, 2 Hg 2.90, 2 Li 2.90
Hg 0.0000 0.5000 0.5000  4 Li 2.82-2.86, 4 Al 2.90, 2 Hg 3.01
Li 0.5000 0.5000 0.0000  4 Hg 2.82-2.86, 4 Al 2.90, 2 Li 3.01

Summary:
Total DFT energy (no corrections) (eV per atom): -2.4659
SG: C2/m, No. 12
Total magnetic moment (μB/cell): 0.00
E_form (eV per atom): -0.041


This record from the Alexandria database describes LiAl2Hg after structural relaxation. The functional is PBE.

a b c (Å): 5.0421 5.0421 5.0242
angles (deg): 131.17 131.17 71.83
Closest atoms and distances in Å follow each position.
Sites, in units of the cell vectors:
Al 0.0000 0.0000 0.0000  4 Al 2.91-2.92, 4 Li 2.91-2.92, 4 Hg 2.93-2.96
Al 0.7501 0.2501 0.5000  4 Hg 2.91-2.92, 4 Al 2.91-2.92, 4 Li 2.93-2.96
Hg 0.4999 0.4999 0.0000  8 Al 2.91-2.96, 4 Li 2.91-2.92
Li 0.2500 0.7500 0.5000  4 Hg 2.91-2.92, 8 Al 2.91-2.96

Summary:
Total DFT energy (no corrections) (eV per atom): -2.4969
SG: F222, No. 22
Total magnetic moment (μB/cell): 0.00
E_form (eV per atom): -0.072


> Which of these has the highest E_form?

number 6


> Which value of E_form does entry 2 give?

-0.265 eV per atom


> total DFT energy (no corrections) of number 6 (Li2Al2Hg)?

-2.2527 eV per atom